Entry from Alexandria: an optimized crystal structure of UTlSe4 (PBE-GGA).

Computed properties:
calculated total energy	-5.10	eV/atom

a b c (Å): 7.9277 7.9277 8.4071
angles (deg): 90.00 90.00 73.94
Element x y z (fractional)
Se (0.2375, 0.7753, 0.7500)
Se (0.3604, 0.3604, 0.4914)
Se (0.6396, 0.6396, 0.5086)
Se (0.2247, 0.7625, 0.2500)
Se (0.7753, 0.2375, 0.7500)
Se (0.6396, 0.6396, 0.9914)
Se (0.7625, 0.2247, 0.2500)
Se (0.3604, 0.3604, 0.0086)
U (0.5077, 0.5077, 0.2500)
U (0.4923, 0.4923, 0.7500)
Tl (0.8451, 0.8451, 0.7500)
Tl (0.1549, 0.1549, 0.2500)